Computed, not measured: an optimized crystal structure of KHf2Mn at the PBE level of DFT.

Summary:
- DFT total energy: -6.39 eV per atom
- E above lowest polymorph: 0.024 eV per atom
- Formation enthalpy at 0 K: 1155 meV/atom
- Theoretical density: 5.3 Mg/m³
- DOS at the Fermi energy: 9.71 states/eV per cell

extended XYZ file:
```
8
Lattice="0.000 5.199 5.199 5.199 0.000 5.199 5.199 5.199 0.000" Properties=species:S:1:pos:R:3 pbc="T T T"
K 1.300 1.300 1.300
K 9.098 9.098 9.098
Hf 5.199 2.599 2.599
Hf 2.599 5.199 2.599
Hf 2.599 2.599 5.199
Hf 5.199 5.199 5.199
Mn 3.899 3.899 3.899
Mn 6.499 6.499 6.499
```



Computed, not measured: an optimized crystal structure of GaNi3Sn at the PBE level of DFT.

Summary:
- DFT total energy: -4.46 eV per atom
- E above lowest polymorph: 0.560 eV per atom
- Formation enthalpy at 0 K: 411 meV/atom
- Theoretical density: 7.3 Mg/m³
- DOS at the Fermi energy: 4.50 states/eV per cell

extended XYZ file:
```
5
Lattice="4.353 0.000 0.000 0.000 4.353 0.000 0.000 0.000 4.353" Properties=species:S:1:pos:R:3 pbc="T T T"
Ga 0.000 0.000 0.000
Ni 0.000 0.000 2.176
Ni 0.000 2.176 0.000
Ni 2.176 0.000 0.000
Sn 2.176 2.176 2.176
```



Computed, not measured: an optimized crystal structure of Cd2ReI2 at the PBE level of DFT.

Summary:
- DFT total energy: -2.50 eV per atom
- E above lowest polymorph: 0.000 eV per atom
- Raw formation energy: 0.977 eV/atom
- Theoretical density: 7.5 Mg/m³
- DOS at the Fermi energy: 6.89 states/eV per cell

extended XYZ file:
```
10
Lattice="7.650 0.000 0.000 0.000 7.650 0.000 0.000 0.000 5.024" Properties=species:S:1:pos:R:3 pbc="T T T"
Cd 1.132 2.693 0.000
Cd 2.693 6.518 0.000
Cd 4.957 1.132 0.000
Cd 6.518 4.957 0.000
Re 0.000 0.000 0.000
Re 3.825 3.825 0.000
I 1.335 5.160 2.512
I 2.489 1.335 2.512
I 5.160 6.314 2.512
I 6.314 2.489 2.512
```



Computed, not measured: an optimized crystal structure of RbLaN2O at the PBE level of DFT.

Summary:
- DFT total energy: -5.59 eV per atom
- Raw formation energy: -0.093 eV/atom
- Theoretical density: 3.9 Mg/m³
- DOS at the Fermi energy: 1.32 states/eV per cell

extended XYZ file:
```
5
Lattice="5.004 0.000 0.000 0.000 5.004 0.000 0.000 0.000 4.544" Properties=species:S:1:pos:R:3 pbc="T T T"
Rb 0.000 0.000 0.000
La 2.502 2.502 2.272
N 0.000 2.502 2.272
N 2.502 0.000 2.272
O 2.502 2.502 0.000
```



Question: What is the theoretical density in the second record?
Answer: 7.3 Mg/m³



Question: Which formula does entry 1 have?
Answer: KHf2Mn



Copy entry 3 word for word.
Computed, not measured: an optimized crystal structure of Cd2ReI2 at the PBE level of DFT.

Summary:
- DFT total energy: -2.50 eV per atom
- E above lowest polymorph: 0.000 eV per atom
- Raw formation energy: 0.977 eV/atom
- Theoretical density: 7.5 Mg/m³
- DOS at the Fermi energy: 6.89 states/eV per cell

extended XYZ file:
```
10
Lattice="7.650 0.000 0.000 0.000 7.650 0.000 0.000 0.000 5.024" Properties=species:S:1:pos:R:3 pbc="T T T"
Cd 1.132 2.693 0.000
Cd 2.693 6.518 0.000
Cd 4.957 1.132 0.000
Cd 6.518 4.957 0.000
Re 0.000 0.000 0.000
Re 3.825 3.825 0.000
I 1.335 5.160 2.512
I 2.489 1.335 2.512
I 5.160 6.314 2.512
I 6.314 2.489 2.512
```



Question: What is the formula in the second record?
Answer: GaNi3Sn